Record 1
Entry from the Alexandria database: a crystal of LuSi2Pt2 relaxed with PBEsol (SCAN).

Cell: 5.6929 5.6929 5.6929 Å, 137.93 137.93 61.02°
Element x y z (fractional)
Lu  0.0000  0.0000  0.0000
Si  0.3845  0.3845  0.0000
Si  0.6155  0.6155  0.0000
Pt  0.2500  0.7500  0.5000
Pt  0.7500  0.2500  0.5000

***

Record 2
Entry from the Alexandria database: a crystal of BaGeAuCl2 relaxed with PBEsol (SCAN).

Cell: 5.3459 5.3459 4.8208 Å, 90.00 90.00 90.00°
Element x y z (fractional)
Ba  0.0000  0.0000  0.0000
Ge  0.5000  0.5000  0.0000
Au  0.5000  0.5000  0.5000
Cl  0.0000  0.5000  0.5000
Cl  0.5000  0.0000  0.5000

***

Record 3
Entry from the Alexandria database: a crystal of AsSeS2N relaxed with PBEsol (SCAN).

Cell: 4.8009 4.8009 3.5548 Å, 90.00 90.00 90.00°
Element x y z (fractional)
As  0.0000  0.0000  0.0000
Se  0.5000  0.5000  0.5000
S  0.0000  0.5000  0.0000
S  0.5000  0.0000  0.0000
N  0.0000  0.0000  0.5000

***

Record 4
Entry from the Alexandria database: a crystal of Mn2Si relaxed with PBEsol (SCAN).

Cell: 4.3976 4.3976 6.1185 Å, 109.16 109.16 34.98°
Element x y z (fractional)
Mn  0.1513  0.1513  0.0422
Mn  0.1816  0.1816  0.6288
Mn  0.8184  0.8184  0.3712
Mn  0.8487  0.8487  0.9578
Si  0.4777  0.4777  0.7149
Si  0.5223  0.5223  0.2851

***

no.,formation energy (no corrections) (meV/atom),magnetic moment (μB/f.u.)
1,-1119,0.0
2,-748,1.0
3,1057,0.0
4,-248,0.5